[1]
# Ac2FePPt6

Crystalline Ac2FePPt6 at its relaxed geometry (PBE-GGA, the Alexandria database).

N(E_F) (states/eV/f.u.): 6.19
Crystal system: monoclinic
Formation energy from the elements (eV per atom): -0.796
Volume (Å³ per atom): 20.8
Magnetic moment (μB per formula unit): 2.9

Lattice parameters (Å, degrees): 6.5579 6.5579 8.1260 125.39 125.39 50.96
With the nearest neighbours (Å) after each atom.
Fractional coordinates of all 10 atoms:
Ac (0.2365, 0.2365, 0.1939)  9 Pt 3.11-3.46
Ac (0.7635, 0.7635, 0.8061)  9 Pt 3.11-3.46
Fe (0.5000, 0.5000, 0.0000)  6 Pt 2.52-2.55
P (0.0000, 0.0000, 0.5000)  6 Pt 2.40-2.41
Pt (0.2397, 0.7339, 0.7251)  1 P 2.40, 1 Fe 2.55
Pt (0.2495, 0.2495, 0.6316)  1 P 2.41, 1 Fe 2.52
Pt (0.2661, 0.7603, 0.2749)  1 P 2.40, 1 Fe 2.55
Pt (0.7339, 0.2397, 0.7251)  1 P 2.40, 1 Fe 2.55
Pt (0.7505, 0.7505, 0.3684)  1 P 2.41, 1 Fe 2.52
Pt (0.7603, 0.2661, 0.2749)  1 P 2.40, 1 Fe 2.55

[2]
# HoCo5C2

Crystalline HoCo5C2 at its relaxed geometry (PBE-GGA, the Alexandria database).

N(E_F) (states/eV/f.u.): 9.13
Crystal system: orthorhombic
Formation energy from the elements (eV per atom): -0.003
Volume (Å³ per atom): 10.6
Magnetic moment (μB per formula unit): 2.2

Lattice parameters (Å, degrees): 5.3096 5.3096 5.3096 141.39 111.38 81.61
With the nearest neighbours (Å) after each atom.
Fractional coordinates of all 8 atoms:
Ho (0.0000, 0.0000, 0.0000)  4 C 2.72, 14 Co 2.83-2.99
Co (0.1447, 0.3415, 0.8032)  3 C 1.99-2.22
Co (0.4617, 0.6585, 0.8032)  3 C 1.99-2.22
Co (0.5000, 0.0000, 0.5000)  2 C 1.94
Co (0.5383, 0.3415, 0.1968)  3 C 1.99-2.22
Co (0.8553, 0.6585, 0.1968)  3 C 1.99-2.22
C (0.2592, 0.7592, 0.5000)  3 Co 1.94-1.99
C (0.7408, 0.2408, 0.5000)  3 Co 1.94-1.99

[3]
# PmNd2Dy12

Crystalline PmNd2Dy12 at its relaxed geometry (PBE-GGA, the Alexandria database).

N(E_F) (states/eV/f.u.): 23.20
Crystal system: triclinic
Formation energy from the elements (eV per atom): 0.057
Volume (Å³ per atom): 32.1
Magnetic moment (μB per formula unit): 0.0

Lattice parameters (Å, degrees): 6.5679 6.5687 25.0301 82.52 86.73 64.12
With the nearest neighbours (Å) after each atom.
Fractional coordinates of all 30 atoms:
Pm (0.2394, 0.2395, 0.9998)  6 Dy 3.32-3.68, 2 Pm 3.49
Pm (0.7606, 0.7605, 0.0002)  6 Dy 3.32-3.68, 2 Pm 3.49
Nd (0.0008, 0.6319, 0.7313)  2 Nd 3.48-3.49, 12 Dy 3.66-3.78
Nd (0.5001, 0.1321, 0.7313)  2 Nd 3.48-3.49, 12 Dy 3.66-3.78
Nd (0.4999, 0.8679, 0.2687)  2 Nd 3.48-3.49, 12 Dy 3.66-3.78
Nd (0.9992, 0.3681, 0.2687)  2 Nd 3.48-3.49, 12 Dy 3.66-3.78
Dy (0.0002, 0.1643, 0.6650)  7 Dy 3.25-3.57
Dy (0.9998, 0.8357, 0.3350)  7 Dy 3.25-3.57
Dy (0.0009, 0.9015, 0.2015)  7 Dy 3.25-3.62
Dy (0.2500, 0.0520, 0.4027)  9 Dy 3.25-3.59
Dy (0.2497, 0.1850, 0.1336)  8 Dy 3.25-3.61, 1 Pm 3.32
Dy (0.2498, 0.3147, 0.8660)  8 Dy 3.25-3.61, 1 Pm 3.32
Dy (0.2496, 0.5223, 0.4604)  11 Dy 3.41-3.82
Dy (0.2498, 0.9773, 0.5399)  10 Dy 3.40-3.80
Dy (0.2510, 0.4483, 0.5978)  9 Dy 3.25-3.59
Dy (0.2512, 0.7130, 0.0741)  9 Dy 3.47-3.68, 4 Pm 3.68-3.86
Dy (0.2513, 0.7847, 0.9260)  9 Dy 3.47-3.68, 4 Pm 3.68-3.85
Dy (0.4984, 0.3353, 0.3344)  7 Dy 3.25-3.58
Dy (0.5002, 0.4011, 0.2010)  7 Dy 3.25-3.60
Dy (0.4998, 0.5989, 0.7990)  7 Dy 3.25-3.60
Dy (0.5016, 0.6647, 0.6656)  7 Dy 3.25-3.58
Dy (0.7487, 0.2153, 0.0740)  9 Dy 3.47-3.68, 4 Pm 3.68-3.85
Dy (0.7488, 0.2870, 0.9259)  9 Dy 3.47-3.68, 4 Pm 3.68-3.86
Dy (0.7490, 0.5517, 0.4022)  9 Dy 3.25-3.59
Dy (0.7502, 0.0227, 0.4601)  10 Dy 3.40-3.80
Dy (0.7504, 0.4777, 0.5396)  11 Dy 3.41-3.82
Dy (0.7502, 0.6853, 0.1340)  8 Dy 3.25-3.61, 1 Pm 3.32
Dy (0.7503, 0.8150, 0.8664)  8 Dy 3.25-3.61, 1 Pm 3.32
Dy (0.7500, 0.9480, 0.5973)  9 Dy 3.25-3.59
Dy (0.9991, 0.0985, 0.7985)  7 Dy 3.25-3.62

[4]
# TcP2Pt

Crystalline TcP2Pt at its relaxed geometry (PBE-GGA, the Alexandria database).

N(E_F) (states/eV/f.u.): 2.20
Crystal system: trigonal
Formation energy from the elements (eV per atom): -0.131
Volume (Å³ per atom): 14.9
Energy above the lowest structure with this stoichiometry (eV per atom): 0.264
Magnetic moment (μB per formula unit): 0.0

Lattice parameters (Å, degrees): 7.5241 7.5241 7.5241 23.50 23.50 23.50
With the nearest neighbours (Å) after each atom.
Fractional coordinates of all 4 atoms:
Tc (0.0000, 0.0000, 0.0000)  3 P 2.34
P (0.4876, 0.4876, 0.4876)  3 Pt 2.35, 3 P 2.56
P (0.7366, 0.7366, 0.7366)  3 Tc 2.34, 3 P 2.56
Pt (0.2249, 0.2249, 0.2249)  3 P 2.35

[5]
# ZrZnAgAu

Crystalline ZrZnAgAu at its relaxed geometry (PBE-GGA, the Alexandria database).

N(E_F) (states/eV/f.u.): 1.73
Crystal system: cubic
Formation energy from the elements (eV per atom): -0.292
Volume (Å³ per atom): 18.1
Magnetic moment (μB per formula unit): 0.0

Lattice parameters (Å, degrees): 4.6818 4.6818 4.6818 60.00 60.00 60.00
With the nearest neighbours (Å) after each atom.
Fractional coordinates of all 4 atoms:
Zr (0.0000, 0.0000, 0.0000)  4 Ag 2.87, 4 Au 2.87
Zn (0.5000, 0.5000, 0.5000)  4 Au 2.87, 4 Ag 2.87
Ag (0.2500, 0.2500, 0.2500)  4 Zn 2.87, 4 Zr 2.87
Au (0.7500, 0.7500, 0.7500)  4 Zn 2.87, 4 Zr 2.87

[6]
# ZrHCl2

Crystalline ZrHCl2 at its relaxed geometry (PBE-GGA, the Alexandria database).

N(E_F) (states/eV/f.u.): 1.12
Crystal system: monoclinic
E_tot (eV/atom): -5.0602
Volume (Å³ per atom): 19.4
Magnetic moment (μB per formula unit): 0.0

Lattice parameters (Å, degrees): 3.4572 3.4572 7.6534 100.20 100.20 60.01
With the nearest neighbours (Å) after each atom.
Fractional coordinates of all 4 atoms:
Zr (0.0000, 0.0000, 0.0000)  3 H 2.00
H (0.3334, 0.3334, 0.9999)  3 Zr 2.00
Cl (0.6018, 0.6018, 0.7503)  3 Zr 2.73-2.74, 3 H 2.73-2.74
Cl (0.7321, 0.7321, 0.2497)  3 Zr 2.73-2.74, 3 H 2.74

- magnetic moment of number 3 (PmNd2Dy12)?
  0.0 μB per formula unit